# KPaCrO6

A relaxed structure of KPaCrO6 (GGA+U, the Alexandria database).

The value obtained for the spin magnetization is 0.00 μB per atom. The total energy comes out at -7.22 eV per atom.

It has space group P312 (No. 149), with a = 5.5355 Å, b = 5.5355 Å, c = 4.8061 Å, α = 90.00°, β = 90.00° and γ = 120.00°. The distinct sites, in fractional coordinates, are K at (0.0000, 0.0000, 0.0000), Pa at (0.6667, 0.3333, 0.5000), Cr at (0.3333, 0.6667, 0.0000) and O at (0.0259, 0.4341, 0.2341).